# 1
Here is a geometry-optimized ZrTi5Bi6 structure from Alexandria. Energies are from PBE.

Results
- Total magnetization: 1.49 μB per cell
- Crystal system: monoclinic
- E_form: -0.005 eV/atom

Cell: 7.1446 12.1180 7.1220 Å, 90.00 107.33 90.00°
Closest atoms and distances in Å follow each position.
Space group C2/m (No. 12)
Symmetry-distinct sites (fractional):
Zr (0.0000, 0.0000, 0.0000) (multiplicity 2)  6 Bi 2.94-3.13
Ti (0.0000, 0.1230, 0.5000) (multiplicity 4)  6 Bi 2.87-3.11, 1 Ti 2.98
Ti (0.0000, 0.3072, 0.0000) (multiplicity 4)  6 Bi 2.81-2.94
Ti (0.0000, 0.5000, 0.5000) (multiplicity 2)  6 Bi 2.84-2.86
Bi (0.2060, 0.5000, 0.2144) (multiplicity 4)  5 Ti 2.84-2.94, 1 Zr 2.94
Bi (0.2304, 0.3254, 0.7234) (multiplicity 8)  5 Ti 2.81-3.11, 1 Zr 3.13

***

# 2
Here is a geometry-optimized ZrHgRh structure from Alexandria. Energies are from PBE.

Results
- Total magnetization: 0.00 μB per cell
- Crystal system: trigonal
- E_form: -0.200 eV/atom

Cell: 3.3518 3.3518 6.3740 Å, 90.00 90.00 120.00°
Closest atoms and distances in Å follow each position.
Space group P3m1 (No. 156)
Symmetry-distinct sites (fractional):
Zr (0.0000, 0.0000, 0.0000) (multiplicity 1)  3 Rh 2.60
Hg (0.6667, 0.3333, 0.3789) (multiplicity 1)  3 Rh 2.95, 3 Zr 3.09
Rh (0.3333, 0.6667, 0.7274) (multiplicity 1)  3 Zr 2.60

***

# 3
Here is a geometry-optimized ZnTePS structure from Alexandria. Energies are from PBE.

Results
- Total magnetization: 0.00 μB per cell
- Formation energy (no corrections): -0.29 eV/f.u.
- Crystal system: monoclinic

Cell: 4.2462 3.9728 5.2811 Å, 90.00 92.23 90.00°
Closest atoms and distances in Å follow each position.
Space group Pm (No. 6)
Symmetry-distinct sites (fractional):
Zn (0.0000, 0.0000, 0.0000) (multiplicity 1)  2 S 2.41
Te (0.8060, 0.0000, 0.5061) (multiplicity 1)  2 Zn 2.70-2.83, 4 P 2.88-2.95
P (0.3161, 0.5000, 0.4702) (multiplicity 1)  1 S 2.15
S (0.3136, 0.5000, 0.0631) (multiplicity 1)  1 P 2.15, 2 Zn 2.41

***

# 4
Here is a geometry-optimized B5C7 structure from Alexandria. Energies are from PBE.

Results
- Total magnetization: 0.00 μB per cell
- Crystal system: orthorhombic
- E_form: 0.418 eV/atom

Cell: 3.6381 11.6451 3.7348 Å, 90.00 90.00 90.00°
Closest atoms and distances in Å follow each position.
Space group C222 (No. 21)
Symmetry-distinct sites (fractional):
B (0.0000, 0.0000, 0.0000) (multiplicity 2)  4 C 1.62
B (0.0000, 0.1669, 0.5000) (multiplicity 4)  4 C 1.62-1.67
B (0.0000, 0.3335, 0.0000) (multiplicity 4)  4 C 1.63-1.69
C (0.0000, 0.5000, 0.5000) (multiplicity 2)  4 C 1.53
C (0.2432, 0.4241, 0.2625) (multiplicity 8)  1 C 1.53, 3 B 1.62-1.69
C (0.2500, 0.2500, 0.7477) (multiplicity 4)  4 B 1.62-1.63

***

# 5
Here is a geometry-optimized PrMg2Cu structure from Alexandria. Energies are from PBE.

Results
- Total magnetization: 0.00 μB per cell
- Crystal system: tetragonal
- E_form: -0.039 eV/atom

Cell: 3.3389 3.3389 8.0571 Å, 90.00 90.00 90.00°
Closest atoms and distances in Å follow each position.
Space group P4/mmm (No. 123)
Symmetry-distinct sites (fractional):
Pr (0.0000, 0.0000, 0.0000) (multiplicity 1)  4 Pr 3.34, 8 Mg 3.47
Mg (0.5000, 0.5000, 0.3157) (multiplicity 2)  4 Cu 2.79, 1 Mg 2.97
Cu (0.0000, 0.0000, 0.5000) (multiplicity 1)  8 Mg 2.79

***

# 6
Here is a geometry-optimized TiSn structure from Alexandria. Energies are from PBE.

Results
- Total magnetization: 0.00 μB per cell
- Crystal system: orthorhombic
- E_form: -0.093 eV/atom

Cell: 2.9964 12.8622 6.9031 Å, 90.00 90.00 90.00°
Closest atoms and distances in Å follow each position.
Space group Amm2 (No. 38)
Symmetry-distinct sites (fractional):
Ti (0.0000, 0.0000, 0.0000) (multiplicity 2)  6 Ti 2.78-3.00, 3 Sn 2.82-3.01
Ti (0.5000, 0.1110, 0.2687) (multiplicity 4)  5 Ti 2.78-3.00, 6 Sn 2.91-3.04
Sn (0.0000, 0.0000, 0.5915) (multiplicity 2)  5 Ti 2.82-3.04, 2 Sn 3.00
Sn (0.0000, 0.2340, 0.9886) (multiplicity 4)  5 Ti 2.91-3.01, 2 Sn 3.00